*a*
Density functional theory data (PBE) for a geometry-optimized TiSn2Os2 structure.

## Properties
As for the calculated density: 12.27 g cm⁻³. The value obtained for the density of states at the Fermi level is 10.74 states/eV/cell. Its crystal system is tetragonal.

Cell: 7.722 7.722 3.022 Å, 90.00 90.00 90.00°
Last column: magnetic moment on the atom in μB.
Fractional positions:
1 Os 0.152 0.652 0.500  0.09
2 Os 0.652 0.848 0.500  0.09
3 Os 0.848 0.348 0.500  0.09
4 Os 0.348 0.152 0.500  0.09
5 Sn 0.354 0.854 0.000  0.01
6 Sn 0.854 0.646 0.000  0.01
7 Sn 0.646 0.146 0.000  0.01
8 Sn 0.146 0.354 0.000  0.01
9 Ti 0.000 0.000 0.000  0.57
10 Ti 0.500 0.500 0.000  0.57



*b*
Density functional theory data (PBE) for a geometry-optimized TiSn2Os2 structure.

## Properties
As for the calculated density: 10.99 g cm⁻³. The value obtained for the density of states at the Fermi level is 7.49 states/eV/cell. Its crystal system is tetragonal.

Cell: 4.208 4.208 6.414 Å, 70.85 70.85 90.00°
Fractional positions:
1 Os 0.750 0.250 0.500
2 Os 0.250 0.750 0.500
3 Sn 0.384 0.384 0.233
4 Sn 0.616 0.616 0.767
5 Ti 0.000 0.000 0.000



Which structure is the least stable? The one labeled *b*.



*a*
Density functional theory data (PBE) for a geometry-optimized VSn2Os structure.

## Properties
As for the calculated density: 9.99 g cm⁻³. The value obtained for the density of states at the Fermi level is 10.29 states/eV/cell. Its crystal system is tetragonal.

Cell: 4.080 4.080 9.982 Å, 78.21 78.21 90.00°
Last column: magnetic moment on the atom in μB.
Fractional positions:
1 Os 0.000 0.000 0.000  -0.13
2 Os 0.750 0.250 0.500  -0.13
3 Sn 0.624 0.125 0.250  0.01
4 Sn 0.126 0.625 0.250  0.01
5 Sn 0.375 0.376 0.750  0.01
6 Sn 0.875 0.874 0.750  0.01
7 V 0.500 0.500 0.000  1.58
8 V 0.250 0.750 0.500  1.58



*b*
Density functional theory data (PBE) for a geometry-optimized VSn2Os structure.

## Properties
As for the calculated density: 9.92 g cm⁻³. The value obtained for the density of states at the Fermi level is 4.13 states/eV/cell. Its crystal system is trigonal.

Cell: 3.092 3.092 9.846 Å, 80.97 80.97 60.00°
Last column: magnetic moment on the atom in μB.
Fractional positions:
1 Os 0.500 0.500 0.500  -0.05
2 Sn 0.094 0.094 0.718  -0.01
3 Sn 0.906 0.906 0.282  -0.01
4 V 0.000 0.000 0.000  1.11



Which structure is the least stable? The one labeled *a*.



*a*
Density functional theory data (PBE) for a geometry-optimized Sn3OsW structure.

## Properties
As for the calculated density: 8.58 g cm⁻³. The value obtained for the density of states at the Fermi level is 3.80 states/eV/cell. Its crystal system is cubic.

Cell: 5.209 5.209 5.209 Å, 90.00 90.00 90.00°
Last column: magnetic moment on the atom in μB.
Fractional positions:
1 Os 0.500 0.500 0.500  2.74
2 Sn 0.000 0.500 0.000  0.01
3 Sn 0.000 0.000 0.500  0.04
4 Sn 0.500 0.000 0.000  0.01
5 W 0.000 0.000 0.000  0.62



*b*
Density functional theory data (PBE) for a geometry-optimized Sn3OsW structure.

## Properties
As for the calculated density: 9.10 g cm⁻³. The value obtained for the density of states at the Fermi level is 2.09 states/eV/cell. Its crystal system is cubic.

Cell: 5.108 5.108 5.108 Å, 90.00 90.00 90.00°
Last column: magnetic moment on the atom in μB.
Fractional positions:
1 Os 0.000 0.000 0.000  0.15
2 Sn 0.000 0.500 0.000  0.00
3 Sn 0.000 0.000 0.500  -0.01
4 Sn 0.500 0.000 0.000  0.00
5 W 0.500 0.500 0.500  2.94



Which structure is the least stable? The one labeled *a*.



*a*
Density functional theory data (PBE) for a geometry-optimized Sn2Os2W structure.

## Properties
As for the calculated density: 13.45 g cm⁻³. The value obtained for the density of states at the Fermi level is 7.26 states/eV/cell. Its crystal system is tetragonal.

Cell: 3.506 3.506 8.423 Å, 77.99 77.99 90.00°
Last column: magnetic moment on the atom in μB.
Fractional positions:
1 Os 0.750 0.250 0.500  0.02
2 Os 0.250 0.750 0.500  0.02
3 Sn 0.400 0.400 0.200  -0.01
4 Sn 0.600 0.600 0.800  -0.01
5 W 0.000 0.000 0.000  0.60



*b*
Density functional theory data (PBE) for a geometry-optimized Sn2Os2W structure.

## Properties
As for the calculated density: 15.16 g cm⁻³. The value obtained for the density of states at the Fermi level is 8.50 states/eV/cell. Its crystal system is tetragonal.

Cell: 7.674 7.674 2.981 Å, 90.00 90.00 90.00°
Fractional positions:
1 Os 0.161 0.661 0.500
2 Os 0.661 0.839 0.500
3 Os 0.839 0.339 0.500
4 Os 0.339 0.161 0.500
5 Sn 0.360 0.860 0.000
6 Sn 0.860 0.640 0.000
7 Sn 0.640 0.140 0.000
8 Sn 0.140 0.360 0.000
9 W 0.000 0.000 0.000
10 W 0.500 0.500 0.000



Which structure is the least stable? The one labeled *a*.



*a*
Density functional theory data (PBE) for a geometry-optimized ZnSnOs3 structure.

## Properties
As for the calculated density: 11.04 g cm⁻³. The value obtained for the density of states at the Fermi level is 5.51 states/eV/cell. Its crystal system is cubic.

Cell: 4.842 4.842 4.842 Å, 90.00 90.00 90.00°
Last column: magnetic moment on the atom in μB.
Fractional positions:
1 Zn 0.500 0.500 0.500  -0.03
2 Os 0.000 0.500 0.000  0.92
3 Os 0.000 0.000 0.500  1.04
4 Os 0.500 0.000 0.000  0.72
5 Sn 0.000 0.000 0.000  -0.05



*b*
Density functional theory data (PBE) for a geometry-optimized ZnSnOs3 structure.

## Properties
As for the calculated density: 13.61 g cm⁻³. The value obtained for the density of states at the Fermi level is 7.33 states/eV/cell. Its crystal system is cubic.

Cell: 4.516 4.516 4.516 Å, 90.00 90.00 90.00°
Last column: magnetic moment on the atom in μB.
Fractional positions:
1 Zn 0.000 0.000 0.000  0.01
2 Os 0.000 0.500 0.000  0.33
3 Os 0.000 0.000 0.500  0.47
4 Os 0.500 0.000 0.000  0.29
5 Sn 0.500 0.500 0.500  -0.01



Which structure is the least stable? The one labeled *a*.



*a*
Density functional theory data (PBE) for a geometry-optimized ZrSn2Os structure.

## Properties
As for the calculated density: 9.86 g cm⁻³. The value obtained for the density of states at the Fermi level is 7.64 states/eV/cell. Its crystal system is tetragonal.

Cell: 4.150 4.150 10.562 Å, 78.67 78.67 90.00°
Fractional positions:
1 Os 0.000 0.000 0.000
2 Os 0.750 0.250 0.500
3 Sn 0.636 0.125 0.250
4 Sn 0.114 0.625 0.250
5 Sn 0.375 0.364 0.750
6 Sn 0.875 0.886 0.750
7 Zr 0.500 0.500 0.000
8 Zr 0.250 0.750 0.500



*b*
Density functional theory data (PBE) for a geometry-optimized ZrSn2Os structure.

## Properties
As for the calculated density: 10.94 g cm⁻³. The value obtained for the density of states at the Fermi level is 5.70 states/eV/cell. Its crystal system is cubic.

Cell: 4.812 4.812 4.812 Å, 60.00 60.00 60.00°
Last column: magnetic moment on the atom in μB.
Fractional positions:
1 Os 0.500 0.500 0.500  0.24
2 Sn 0.250 0.250 0.250  0.03
3 Sn 0.750 0.750 0.750  0.03
4 Zr 0.000 0.000 0.000  0.43



Which structure is the least stable? The one labeled *a*.



*a*
Density functional theory data (PBE) for a geometry-optimized SrOs5 structure.

## Properties
As for the calculated density: 16.78 g cm⁻³. The value obtained for the density of states at the Fermi level is 7.59 states/eV/cell. Its crystal system is cubic.

Cell: 5.258 5.258 5.258 Å, 60.00 60.00 60.00°
Fractional positions:
1 Sr 0.000 0.000 0.000
2 Os 0.250 0.250 0.250
3 Os 0.625 0.625 0.625
4 Os 0.625 0.625 0.126
5 Os 0.126 0.625 0.625
6 Os 0.625 0.126 0.625



*b*
Density functional theory data (PBE) for a geometry-optimized SrOs5 structure.

## Properties
As for the calculated density: 17.37 g cm⁻³. The value obtained for the density of states at the Fermi level is 6.15 states/eV/cell. Its crystal system is tetragonal.

Cell: 2.810 2.810 12.575 Å, 90.00 90.00 90.00°
Fractional positions:
1 Sr 0.500 0.500 0.000
2 Os 0.000 0.000 0.792
3 Os 0.000 0.000 0.208
4 Os 0.500 0.500 0.653
5 Os 0.500 0.500 0.347
6 Os 0.000 0.000 0.500



*c*
Density functional theory data (PBE) for a geometry-optimized SrOs5 structure.

## Properties
As for the calculated density: 15.91 g cm⁻³. The value obtained for the density of states at the Fermi level is 5.96 states/eV/cell. Its crystal system is monoclinic.

Cell: 6.122 6.122 6.579 Å, 82.20 82.20 26.37°
Fractional positions:
1 Sr 0.322 0.322 0.992
2 Os 0.049 0.049 0.062
3 Os 0.271 0.271 0.529
4 Os 0.632 0.632 0.337
5 Os 0.597 0.597 0.733
6 Os 0.961 0.961 0.514



Which structure is the least stable? The one labeled *a*.



*a*
Density functional theory data (PBE) for a geometry-optimized SrTa2Os structure.

## Properties
As for the calculated density: 11.03 g cm⁻³. The value obtained for the density of states at the Fermi level is 4.95 states/eV/cell. Its crystal system is monoclinic.

Cell: 5.277 5.277 6.036 Å, 76.75 76.75 36.20°
Fractional positions:
1 Os 0.473 0.473 0.611
2 Sr 0.233 0.233 0.260
3 Ta 0.027 0.027 0.894
4 Ta 0.767 0.767 0.735



*b*
Density functional theory data (PBE) for a geometry-optimized SrTa2Os structure.

## Properties
As for the calculated density: 12.66 g cm⁻³. The value obtained for the density of states at the Fermi level is 5.31 states/eV/cell. Its crystal system is trigonal.

Cell: 10.157 10.157 10.157 Å, 17.64 17.64 17.64°
Fractional positions:
1 Os 0.250 0.250 0.250
2 Sr 0.750 0.750 0.750
3 Ta 0.984 0.984 0.984
4 Ta 0.516 0.516 0.516



*c*
Density functional theory data (PBE) for a geometry-optimized SrTa2Os structure.

## Properties
As for the calculated density: 12.17 g cm⁻³. The value obtained for the density of states at the Fermi level is 4.58 states/eV/cell. Its crystal system is tetragonal.

Cell: 3.171 3.171 8.680 Å, 90.00 90.00 90.00°
Fractional positions:
1 Os 0.000 0.000 0.442
2 Sr 0.500 0.500 0.712
3 Ta 0.000 0.000 0.064
4 Ta 0.500 0.500 0.281



*d*
Density functional theory data (PBE) for a geometry-optimized SrTa2Os structure.

## Properties
As for the calculated density: 14.02 g cm⁻³. The value obtained for the density of states at the Fermi level is 3.87 states/eV/cell. Its crystal system is tetragonal.

Cell: 4.905 4.905 3.149 Å, 90.00 90.00 90.00°
Fractional positions:
1 Os 0.500 0.000 0.500
2 Sr 0.000 0.500 0.500
3 Ta 0.000 0.000 0.000
4 Ta 0.500 0.500 0.000



Which structure is the least stable? The one labeled *d*.



*a*
Density functional theory data (PBE) for a geometry-optimized Sr3TaOs structure.

## Properties
As for the calculated density: 5.60 g cm⁻³. The value obtained for the density of states at the Fermi level is 5.10 states/eV/cell. Its crystal system is cubic.

Cell: 5.730 5.730 5.730 Å, 90.00 90.00 90.00°
Last column: magnetic moment on the atom in μB.
Fractional positions:
1 Sr 0.000 0.500 0.000  0.05
2 Sr 0.000 0.000 0.500  0.04
3 Sr 0.500 0.000 0.000  0.05
4 Os 0.000 0.000 0.000  0.70
5 Ta 0.500 0.500 0.500  2.28



*b*
Density functional theory data (PBE) for a geometry-optimized Sr3TaOs structure.

## Properties
As for the calculated density: 5.49 g cm⁻³. The value obtained for the density of states at the Fermi level is 6.64 states/eV/cell. Its crystal system is cubic.

Cell: 5.767 5.767 5.767 Å, 90.00 90.00 90.00°
Last column: magnetic moment on the atom in μB.
Fractional positions:
1 Sr 0.000 0.500 0.000  0.03
2 Sr 0.000 0.000 0.500  0.04
3 Sr 0.500 0.000 0.000  0.02
4 Os 0.500 0.500 0.500  2.40
5 Ta 0.000 0.000 0.000  0.70



Which structure is the least stable? The one labeled *b*.



*a*
Density functional theory data (PBE) for a geometry-optimized SrTa2Os2 structure.

## Properties
As for the calculated density: 12.85 g cm⁻³. The value obtained for the density of states at the Fermi level is 4.09 states/eV/cell. Its crystal system is tetragonal.

Cell: 4.394 4.394 6.366 Å, 69.81 69.81 90.00°
Fractional positions:
1 Sr 0.000 0.000 0.000
2 Os 0.379 0.379 0.242
3 Os 0.621 0.621 0.758
4 Ta 0.750 0.250 0.500
5 Ta 0.250 0.750 0.500



*b*
Density functional theory data (PBE) for a geometry-optimized SrTa2Os2 structure.

## Properties
As for the calculated density: 14.45 g cm⁻³. The value obtained for the density of states at the Fermi level is 7.66 states/eV/cell. Its crystal system is tetragonal.

Cell: 8.031 8.031 2.957 Å, 90.00 90.00 90.00°
Fractional positions:
1 Sr 0.000 0.000 0.000
2 Sr 0.500 0.500 0.000
3 Os 0.145 0.645 0.500
4 Os 0.645 0.855 0.500
5 Os 0.855 0.355 0.500
6 Os 0.355 0.145 0.500
7 Ta 0.359 0.859 0.000
8 Ta 0.859 0.641 0.000
9 Ta 0.641 0.141 0.000
10 Ta 0.141 0.359 0.000



Which structure is the least stable? The one labeled *b*.



*a*
Density functional theory data (PBE) for a geometry-optimized Sr2TaOs structure.

## Properties
As for the calculated density: 7.96 g cm⁻³. The value obtained for the density of states at the Fermi level is 3.96 states/eV/cell. Its crystal system is orthorhombic.

Cell: 6.462 6.462 6.462 Å, 147.20 128.01 62.85°
Fractional positions:
1 Os 0.288 0.788 0.500
2 Sr 0.037 0.037 0.000
3 Sr 0.741 0.241 0.500
4 Ta 0.434 0.434 0.000



*b*
Density functional theory data (PBE) for a geometry-optimized Sr2TaOs structure.

## Properties
As for the calculated density: 7.58 g cm⁻³. The value obtained for the density of states at the Fermi level is 4.44 states/eV/cell. Its crystal system is monoclinic.

Cell: 3.526 3.535 10.238 Å, 69.70 90.00 90.00°
Fractional positions:
1 Os 0.500 0.830 0.670
2 Sr 0.000 0.074 0.925
3 Sr 0.500 0.183 0.319
4 Ta 0.000 0.413 0.587



Which structure is the least stable? The one labeled *a*.



*a*
Density functional theory data (PBE) for a geometry-optimized Sr2TaOs structure.

## Properties
As for the calculated density: 7.23 g cm⁻³. The value obtained for the density of states at the Fermi level is 4.77 states/eV/cell. Its crystal system is monoclinic.

Cell: 9.515 9.515 4.058 Å, 77.74 77.74 20.48°
Last column: magnetic moment on the atom in μB.
Fractional positions:
1 Os 0.250 0.250 0.250  -0.02
2 Sr 0.899 0.899 0.102  0.02
3 Sr 0.601 0.601 0.398  0.02
4 Ta 0.750 0.750 0.750  0.17



*b*
Density functional theory data (PBE) for a geometry-optimized Sr2TaOs structure.

## Properties
As for the calculated density: 9.88 g cm⁻³. The value obtained for the density of states at the Fermi level is 3.71 states/eV/cell. Its crystal system is orthorhombic.

Cell: 2.979 5.354 5.758 Å, 90.00 90.00 90.00°
Fractional positions:
1 Os 0.500 0.500 0.750
2 Sr 0.000 0.000 0.993
3 Sr 0.000 0.000 0.507
4 Ta 0.500 0.500 0.250



Which structure is the least stable? The one labeled *b*.